1.
The following is a PBE calculation of CdGa2Sn2 after structural relaxation, from the Alexandria database.

Results
Fermi-level density of states = 2.08 states/eV/f.u.
E = -29.1 eV per cell
M_tot = 0.00 μB per cell

a = 3.8347 Å, b = 3.8347 Å, c = 16.6985 Å
α = 90.00°, β = 90.00°, γ = 90.00°
Space group I4/mmm (No. 139)
Unique sites:
Cd (0.0000, 0.0000, 0.0000) x2
Ga (0.0000, 0.5000, 0.2500) x4
Sn (0.0000, 0.0000, 0.3888) x4



2.
The following is a PBE calculation of CdGa2Sn2 after structural relaxation, from the Alexandria database.

Results
Fermi-level density of states = 2.23 states/eV/f.u.
E = -28.6 eV per cell
M_tot = 0.00 μB per cell

a = 4.8811 Å, b = 4.8811 Å, c = 11.2774 Å
α = 90.00°, β = 90.00°, γ = 90.00°
Space group I4/mmm (No. 139)
Unique sites:
Cd (0.0000, 0.0000, 0.0000) x2
Ga (0.0000, 0.5000, 0.2500) x4
Sn (0.0000, 0.0000, 0.3750) x4



What is the Fermi-level density of states in the second record?
2.23 states/eV/f.u.



Look up the E of the first one.
-29.1 eV per cell



What is the formula in the first record?
CdGa2Sn2